# Na2In3Hg4, optimized geometry, DFT PBE-GGA
data_Na2In3Hg4
_chemical_formula_sum 'Na2 In3 Hg4'
_space_group_name_H-M_alt 'P 1'
_space_group_IT_number 1
_cell_length_a 5.2764
_cell_length_b 5.2764
_cell_length_c 9.7458
_cell_angle_alpha 94.40
_cell_angle_beta 94.40
_cell_angle_gamma 58.08
loop_
_space_group_symop_operation_xyz
'x,y,z'
loop_
_atom_site_label
_atom_site_type_symbol
_atom_site_fract_x
_atom_site_fract_y
_atom_site_fract_z
Na1 Na 0.1666 0.1666 0.2201
Na2 Na 0.8334 0.8334 0.7799
In1 In 0.1673 0.1673 0.5721
In2 In 0.5000 0.5000 0.0000
In3 In 0.8327 0.8327 0.4279
Hg1 Hg 0.1655 0.1655 0.8942
Hg2 Hg 0.4989 0.4989 0.6677
Hg3 Hg 0.5011 0.5011 0.3323
Hg4 Hg 0.8345 0.8345 0.1058
# - Polymorph energy (0 for the lowest one): 0.000 eV/atom
# - Formation energy: -0.14 eV/atom
# - Fermi-level density of states: 3.1 states/eV per cell
# - Calculated density: 8.63 g/cm3
# - Total DFT energy (no corrections): -13.36 eV/cell
# - Crystal system: monoclinic



# NaInHg2, optimized geometry, DFT PBE-GGA
data_NaInHg2
_chemical_formula_sum 'Na1 In1 Hg2'
_space_group_name_H-M_alt 'P 1'
_space_group_IT_number 1
_cell_length_a 3.7819
_cell_length_b 3.7819
_cell_length_c 7.2240
_cell_angle_alpha 90.00
_cell_angle_beta 90.00
_cell_angle_gamma 90.00
loop_
_space_group_symop_operation_xyz
'x,y,z'
loop_
_atom_site_label
_atom_site_type_symbol
_atom_site_fract_x
_atom_site_fract_y
_atom_site_fract_z
Na1 Na 0.0000 0.0000 0.0000
In1 In 0.0000 0.0000 0.5000
Hg1 Hg 0.5000 0.5000 0.2482
Hg2 Hg 0.5000 0.5000 0.7518
# - Formation energy: -0.16 eV/atom
# - Fermi-level density of states: 1.5 states/eV per cell
# - Calculated density: 8.66 g/cm3
# - Total DFT energy (no corrections): -5.29 eV/cell
# - Crystal system: tetragonal



# Na2InHg2, optimized geometry, DFT PBE-GGA
data_Na2InHg2
_chemical_formula_sum 'Na4 In2 Hg4'
_space_group_name_H-M_alt 'P 1'
_space_group_IT_number 1
_cell_length_a 4.3490
_cell_length_b 4.3490
_cell_length_c 14.7073
_cell_angle_alpha 90.00
_cell_angle_beta 90.00
_cell_angle_gamma 90.00
loop_
_space_group_symop_operation_xyz
'x,y,z'
loop_
_atom_site_label
_atom_site_type_symbol
_atom_site_fract_x
_atom_site_fract_y
_atom_site_fract_z
Na1 Na 0.0000 0.5000 0.2500
Na2 Na 0.0000 0.5000 0.7500
Na3 Na 0.5000 0.0000 0.2500
Na4 Na 0.5000 0.0000 0.7500
In1 In 0.0000 0.0000 0.0000
In2 In 0.5000 0.5000 0.5000
Hg1 Hg 0.0000 0.0000 0.3994
Hg2 Hg 0.0000 0.0000 0.6006
Hg3 Hg 0.5000 0.5000 0.1006
Hg4 Hg 0.5000 0.5000 0.8994
# - Polymorph energy (0 for the lowest one): 0.157 eV/atom
# - Formation energy: -0.04 eV/atom
# - Fermi-level density of states: 3.7 states/eV per cell
# - Calculated density: 6.71 g/cm3
# - Total DFT energy (no corrections): -12.41 eV/cell
# - Crystal system: tetragonal



# Na3In5Hg2, optimized geometry, DFT PBE-GGA
data_Na3In5Hg2
_chemical_formula_sum 'Na6 In10 Hg4'
_space_group_name_H-M_alt 'P 1'
_space_group_IT_number 1
_cell_length_a 9.4227
_cell_length_b 9.4227
_cell_length_c 9.4227
_cell_angle_alpha 120.68
_cell_angle_beta 90.82
_cell_angle_gamma 118.39
loop_
_space_group_symop_operation_xyz
'x,y,z'
loop_
_atom_site_label
_atom_site_type_symbol
_atom_site_fract_x
_atom_site_fract_y
_atom_site_fract_z
Na1 Na 0.1371 0.7366 0.8737
Na2 Na 0.2500 0.2500 0.0000
Na3 Na 0.3629 0.2366 0.5996
Na4 Na 0.6371 0.7634 0.4004
Na5 Na 0.7500 0.7500 0.0000
Na6 Na 0.8629 0.2634 0.1263
In1 In 0.0086 0.7500 0.2586
In2 In 0.1104 0.3752 0.4855
In3 In 0.2500 0.7500 0.5000
In4 In 0.3896 0.8752 0.2648
In5 In 0.4914 0.7500 0.7414
In6 In 0.5086 0.2500 0.2586
In7 In 0.6104 0.1248 0.7352
In8 In 0.7500 0.2500 0.5000
In9 In 0.8896 0.6248 0.5145
In10 In 0.9914 0.2500 0.7414
Hg1 Hg 0.1341 0.0680 0.2021
Hg2 Hg 0.3659 0.5680 0.9339
Hg3 Hg 0.6341 0.4320 0.0661
Hg4 Hg 0.8659 0.9320 0.7979
# - Polymorph energy (0 for the lowest one): 0.025 eV/atom
# - Formation energy: -0.06 eV/atom
# - Fermi-level density of states: 9.2 states/eV per cell
# - Calculated density: 5.82 g/cm3
# - Total DFT energy (no corrections): -37.70 eV/cell
# - Crystal system: orthorhombic



What is the total DFT energy (no corrections) in the third record?
-12.41 eV/cell